This record from the Alexandria database describes GaFeS3 after structural relaxation. The functional is PBEsol.

Structure (POSCAR):
```
GaFeS3
1.0
4.4743 0.0000 0.0000
0.0000 4.4743 0.0000
0.0000 0.0000 4.4743
Ga Fe S
1 1 3
Direct
0.0000 0.0000 0.0000
0.5000 0.5000 0.5000
0.0000 0.5000 0.5000
0.5000 0.0000 0.5000
0.5000 0.5000 0.0000
```

For the total energy, the calculation gives -4.961 eV per atom. The space group is Pm-3m. As for the crystal system: cubic. As for the uncorrected formation energy: 130 meV/atom.

=====

This record from the Alexandria database describes Sm3GaFeS7 after structural relaxation. The functional is PBEsol.

Structure (POSCAR):
```
Sm3GaFeS7
1.0
9.6408 0.0000 0.0000
-4.8204 8.3491 0.0000
0.0000 0.0000 6.0936
Sm Ga Fe S
6 2 2 14
Direct
0.1574 0.7813 0.0000
0.2187 0.3761 0.0000
0.3761 0.1574 0.5000
0.6239 0.8426 0.0000
0.7813 0.6239 0.5000
0.8426 0.2187 0.5000
0.3333 0.6667 0.4229
0.6667 0.3333 0.9229
0.0000 0.0000 0.3182
0.0000 0.0000 0.8182
0.0858 0.5209 0.2730
0.1005 0.8661 0.5799
0.1339 0.2344 0.5799
0.2344 0.1005 0.0799
0.3333 0.6667 0.7894
0.4351 0.9142 0.2730
0.4791 0.5649 0.2730
0.5209 0.4351 0.7730
0.5649 0.0858 0.7730
0.6667 0.3333 0.2894
0.7656 0.8995 0.5799
0.8661 0.7656 0.0799
0.8995 0.1339 0.0799
0.9142 0.4791 0.7730
```

For the total energy, the calculation gives -6.372 eV per atom. The space group is P6_3. As for the crystal system: hexagonal. As for the uncorrected formation energy: -1516 meV/atom.

=====

This record from the Alexandria database describes GaFeSbTe2 after structural relaxation. The functional is PBEsol.

Structure (POSCAR):
```
GaFeSbTe2
1.0
5.1716 0.0000 0.0000
0.0000 5.1716 0.0000
0.0000 0.0000 4.8069
Ga Fe Sb Te
1 1 1 2
Direct
0.0000 0.0000 0.0000
0.5000 0.5000 0.5000
0.5000 0.5000 0.0000
0.0000 0.5000 0.5000
0.5000 0.0000 0.5000
```

For the total energy, the calculation gives -4.418 eV per atom. The space group is P4/mmm. As for the crystal system: tetragonal. As for the uncorrected formation energy: 365 meV/atom.